{
  "formula": "La2B3Br",
  "functional": "PBEsol",
  "state": "optimized geometry",
  "formation_energy_uncorrected_kcal_per_mol_atoms": -20.0,
  "dft_energy_ev_per_atom": -6.47,
  "cell": [[-3.4067, -3.8426, -5.8408], [-2.0639, -1.4747, 7.3520], [-5.8947, 5.9326, -0.4648]],
  "species": ["La", "La", "La", "Br", "B", "La", "La", "B", "B", "B", "La", "B", "B", "B", "La", "B", "Br", "Br", "Br", "B", "La", "B", "B", "B"],
  "fractional_positions": [[0.8331, 0.6661, 0.7800], [0.3333, 0.6667, 0.7647], [0.3339, 0.1669, 0.7800], [0.0000, 0.0000, 0.5000], [0.1947, 0.8053, 0.0000], [0.8331, 0.1669, 0.7800], [0.3339, 0.1669, 0.2200], [0.5957, 0.4043, 0.0000], [0.0709, 0.9291, 0.0000], [0.6106, 0.8053, 0.0000], [0.3333, 0.6667, 0.2353], [0.8085, 0.4043, 0.0000], [0.1947, 0.3894, 0.0000], [0.8582, 0.9291, 0.0000], [0.8331, 0.1669, 0.2200], [0.0568, 0.5284, 0.0000], [0.5033, 0.0065, 0.5000], [0.9935, 0.4967, 0.5000], [0.5033, 0.4967, 0.5000], [0.0709, 0.1418, 0.0000], [0.8331, 0.6661, 0.2200], [0.4716, 0.5284, 0.0000], [0.5957, 0.1915, 0.0000], [0.4716, 0.9432, 0.0000]]
}


{
  "formula": "LaB2BrO",
  "functional": "PBEsol",
  "state": "optimized geometry",
  "formation_energy_uncorrected_kcal_per_mol_atoms": 8.8,
  "dft_energy_ev_per_atom": -4.92,
  "cell": [[-3.6163, -0.8883, -1.9517], [-0.0599, -3.7833, 1.8329], [-2.3942, 1.7920, 3.6206]],
  "species": ["Br", "La", "O", "B", "B"],
  "fractional_positions": [[0.5000, 0.5000, 0.5000], [0.0000, 0.0000, 0.5000], [0.0000, 0.0000, 0.0000], [0.0000, 0.5000, 0.0000], [0.5000, 0.0000, 0.0000]]
}